Computed, not measured: crystalline Ta5V at its relaxed geometry at the PBE-GGA level of DFT.

Cell: 4.6444 13.8238 3.2838 Å, 90.00 90.00 90.00°
Fractional positions:
1 Ta 0.0000 0.0000 0.0000
2 Ta 0.0000 0.1669 0.5000
3 Ta 0.0000 0.3406 0.0000
4 Ta 0.0000 0.6594 0.0000
5 Ta 0.0000 0.8331 0.5000
6 Ta 0.5000 0.1594 0.0000
7 Ta 0.5000 0.3331 0.5000
8 Ta 0.5000 0.5000 0.0000
9 Ta 0.5000 0.6669 0.5000
10 Ta 0.5000 0.8406 0.0000
11 V 0.0000 0.5000 0.5000
12 V 0.5000 0.0000 0.5000

As for the final energy: -11.369 eV per atom. For the total magnetization, the calculation gives 0.0 μB per cell. The value obtained for the volume is 17.57 Å³ per atom. The calculation puts the density of states at the Fermi level at 18.41 states/eV per cell. As for the formation energy from the elements: 0.028 eV/atom.

***

Computed, not measured: crystalline TaV3 at its relaxed geometry at the PBE-GGA level of DFT.

Cell: 8.4547 8.4547 8.4547 Å, 35.32 35.32 35.32°
Fractional positions:
1 Ta 0.0000 0.0000 0.0000
2 Ta 0.1449 0.1449 0.1449
3 Ta 0.8551 0.8551 0.8551
4 V 0.0806 0.5833 0.5833
5 V 0.3326 0.3326 0.3326
6 V 0.4167 0.4167 0.9194
7 V 0.4167 0.9194 0.4167
8 V 0.5000 0.5000 0.5000
9 V 0.5833 0.0806 0.5833
10 V 0.5833 0.5833 0.0806
11 V 0.6674 0.6674 0.6674
12 V 0.9194 0.4167 0.4167

As for the final energy: -9.726 eV per atom. For the total magnetization, the calculation gives 0.0 μB per cell. The value obtained for the volume is 15.04 Å³ per atom. The calculation puts the density of states at the Fermi level at 15.20 states/eV per cell. As for the formation energy from the elements: 0.076 eV/atom. Its energy above the most stable polymorph in this dataset is 30.6 meV/atom.